Here is crystalline SiPt at its relaxed geometry from the Alexandria database. Energies are from GGA-PBE.

Geometry as extended XYZ:
```
4
Lattice="4.424 0.000 0.000 2.212 3.832 0.000 2.212 1.277 3.612" Properties=species:S:1:pos:R:3 pbc="T T T"
Pt 0.000 0.000 0.000
Pt 2.212 1.277 0.903
Si 4.424 2.554 1.806
Si 6.636 3.832 2.709
```

Results
For the uncorrected energy, the calculation gives -22.573 eV per cell. The space group is Fd-3m (227). The calculation puts the uncorrected formation energy at 0.09 eV/atom.